1.
Crystalline InAgSn at its relaxed geometry. Source: the Alexandria database, functional PBE.

a = 5.044 Å, b = 5.467 Å, c = 6.634 Å
α = 113.17°, β = 109.32°, γ = 90.42°
Space group P-1 (No. 2)
One atom of each set of equivalent atoms:
In1 0.095 0.312 0.132 x2
Ag1 0.304 0.571 0.631 x2
Sn1 0.474 0.153 0.802 x2

## Properties
Final energy, eV/cell: -18.6
DFT formation energy, eV per atom: 0.093

***

2.
Crystalline Sc2IrRh at its relaxed geometry. Source: the Alexandria database, functional PBE.

a = 3.200 Å, b = 3.241 Å, c = 6.492 Å
α = 90.00°, β = 90.00°, γ = 90.00°
Space group Pmmm (No. 47)
One atom of each set of equivalent atoms:
Sc1 0.000 0.000 0.250 x2
Ir1 0.500 0.500 0.000 x1
Rh1 0.500 0.500 0.500 x1

## Properties
Energy above the lowest structure with this stoichiometry, meV/atom: 11
Final energy, eV/cell: -33.0
DFT formation energy, eV per atom: -1.030

***

3.
Crystalline CaScTa2F at its relaxed geometry. Source: the Alexandria database, functional PBE.

a = 5.422 Å, b = 5.422 Å, c = 3.945 Å
α = 90.00°, β = 90.00°, γ = 90.00°
Space group P4/mmm (No. 123)
One atom of each set of equivalent atoms:
Ca1 0.000 0.000 0.000 x1
Sc1 0.500 0.500 0.500 x1
Ta1 0.000 0.500 0.000 x2
F1 0.000 0.000 0.500 x1

## Properties
Final energy, eV/cell: -28.7
Uncorrected formation energy, meV per atom: 1038

***

4.
Crystalline LaPuSiAu at its relaxed geometry. Source: the Alexandria database, functional PBE.

a = 7.360 Å, b = 7.360 Å, c = 7.360 Å
α = 90.00°, β = 90.00°, γ = 90.00°
Space group F-43m (No. 216)
One atom of each set of equivalent atoms:
La1 0.000 0.000 0.000 x4
Pu1 0.000 0.000 0.500 x4
Si1 0.250 0.250 0.250 x4
Au1 0.250 0.250 0.750 x4

## Properties
Final energy, eV/cell: -119.4
Uncorrected formation energy, meV per atom: -470

***

5.
Crystalline YSc3Pt4 at its relaxed geometry. Source: the Alexandria database, functional PBE.

a = 9.581 Å, b = 6.576 Å, c = 4.790 Å
α = 90.00°, β = 90.00°, γ = 90.00°
Space group Pmma (No. 51)
One atom of each set of equivalent atoms:
Y1 0.000 0.000 0.000 x2
Sc1 0.000 0.500 0.000 x2
Sc2 0.250 0.000 0.498 x2
Sc3 0.250 0.500 0.496 x2
Pt1 0.000 0.262 0.500 x4
Pt2 0.250 0.262 0.994 x4

## Properties
Final energy, eV/cell: -118.6
DFT formation energy, eV per atom: -1.210

***

6.
Crystalline Rb2IrRuAu at its relaxed geometry. Source: the Alexandria database, functional PBE.

a = 6.566 Å, b = 6.566 Å, c = 4.541 Å
α = 90.00°, β = 90.00°, γ = 90.00°
Space group P4/mmm (No. 123)
One atom of each set of equivalent atoms:
Rb1 0.000 0.500 0.000 x2
Ir1 0.000 0.000 0.500 x1
Ru1 0.000 0.000 0.000 x1
Au1 0.500 0.500 0.500 x1

## Properties
Final energy, eV/cell: -18.5
DFT formation energy, eV per atom: 0.968

***

7.
Crystalline LaTl2AgBr6 at its relaxed geometry. Source: the Alexandria database, functional PBE.

a = 7.750 Å, b = 8.237 Å, c = 13.342 Å
α = 90.00°, β = 124.38°, γ = 90.00°
Space group P2_1/c (No. 14)
One atom of each set of equivalent atoms:
La1 0.000 0.000 0.000 x2
Tl1 0.285 0.081 0.755 x4
Ag1 0.500 0.000 0.500 x2
Br1 0.145 0.028 0.257 x4
Br2 0.245 0.699 0.055 x4
Br3 0.362 0.194 0.053 x4

## Properties
Final energy, eV/cell: -69.1
Uncorrected formation energy, meV per atom: -1202

***

8.
Crystalline RbSrCa2Ir at its relaxed geometry. Source: the Alexandria database, functional PBE.

a = 5.766 Å, b = 5.766 Å, c = 6.050 Å
α = 90.00°, β = 90.00°, γ = 90.00°
Space group P4/mmm (No. 123)
One atom of each set of equivalent atoms:
Rb1 0.000 0.000 0.000 x1
Sr1 0.500 0.500 0.000 x1
Ca1 0.000 0.500 0.500 x2
Ir1 0.500 0.500 0.500 x1

## Properties
Final energy, eV/cell: -15.9
DFT formation energy, eV per atom: -0.087

***

- Among the records above, which one has the highest final energy?
  RbSrCa2Ir